DFT (PBE-GGA) results for an optimized crystal structure of UCrN.

abc: 7.4659 4.9748 4.6317
angles: 90.00 90.00 90.00
Fractional positions:
U1 0.0402 0.2500 0.2321
U2 0.4598 0.7500 0.7321
U3 0.5402 0.2500 0.2679
U4 0.9598 0.7500 0.7679
Cr1 0.2105 0.2500 0.8404
Cr2 0.2895 0.7500 0.3404
Cr3 0.7105 0.2500 0.6596
Cr4 0.7895 0.7500 0.1596
N1 0.0307 0.7500 0.3265
N2 0.4693 0.2500 0.8265
N3 0.5307 0.7500 0.1735
N4 0.9693 0.2500 0.6735

- Formation energy without anion corrections: -0.51 eV/atom
- Distance to the lowest polymorph of the same formula: 0.000 eV per atom
- Electronic total energy: -10.256 eV per atom
- Fermi-level density of states: 3.8 states/eV/f.u.


DFT (PBE-GGA) results for an optimized crystal structure of Ba2SrI.

abc: 12.6378 12.6378 12.6378
angles: 20.47 20.47 20.47
Fractional positions:
Ba1 0.0000 0.0000 0.0000
Ba2 0.1933 0.1933 0.1933
Sr1 0.7636 0.7636 0.7636
I1 0.5966 0.5966 0.5966

- Formation energy without anion corrections: -0.62 eV/atom
- Distance to the lowest polymorph of the same formula: 0.006 eV per atom
- Electronic total energy: -2.385 eV per atom
- Fermi-level density of states: 5.1 states/eV/f.u.


DFT (PBE-GGA) results for an optimized crystal structure of TiPd5Au6.

abc: 6.3765 6.3765 5.0051
angles: 97.14 97.14 84.36
Fractional positions:
Ti1 0.0000 0.0000 0.0000
Pd1 0.1616 0.8384 0.5000
Pd2 0.3238 0.6762 0.0000
Pd3 0.5000 0.5000 0.5000
Pd4 0.6762 0.3238 0.0000
Pd5 0.8384 0.1616 0.5000
Au1 0.0843 0.4149 0.2520
Au2 0.2512 0.2512 0.7567
Au3 0.4149 0.0843 0.2520
Au4 0.5851 0.9157 0.7480
Au5 0.7488 0.7488 0.2433
Au6 0.9157 0.5851 0.7480

- ΔE_f: -196 meV/atom
- Distance to the lowest polymorph of the same formula: 0.021 eV per atom
- Electronic total energy: -4.656 eV per atom
- Fermi-level density of states: 6.4 states/eV/f.u.


DFT (PBE-GGA) results for an optimized crystal structure of Ca2Sc2Pb.

abc: 10.3879 10.3879 10.3879
angles: 157.71 157.71 31.73
Fractional positions:
Ca1 0.0972 0.0972 0.0000
Ca2 0.9028 0.9028 0.0000
Sc1 0.2500 0.7500 0.5000
Sc2 0.7500 0.2500 0.5000
Pb1 0.5000 0.5000 0.0000

- ΔE_f: 122 meV/atom
- Distance to the lowest polymorph of the same formula: 0.000 eV per atom
- Electronic total energy: -3.952 eV per atom
- Fermi-level density of states: 6.5 states/eV/f.u.


DFT (PBE-GGA) results for an optimized crystal structure of LaNdDy.

abc: 8.1506 8.1506 8.1506
angles: 153.96 153.96 37.16
Fractional positions:
La1 0.0000 0.0000 0.0000
Nd1 0.6716 0.6716 0.0000
Dy1 0.3338 0.3338 0.0000

- ΔE_f: 27 meV/atom
- Distance to the lowest polymorph of the same formula: 0.007 eV per atom
- Electronic total energy: -4.739 eV per atom
- Fermi-level density of states: 5.2 states/eV/f.u.


DFT (PBE-GGA) results for an optimized crystal structure of Tb2Dy6Ag.

abc: 9.3078 9.3078 9.3078
angles: 158.00 113.65 70.83
Fractional positions:
Tb1 0.1376 0.1376 0.0000
Tb2 0.8624 0.8624 0.0000
Dy1 0.1601 0.8179 0.3422
Dy2 0.2341 0.5000 0.7341
Dy3 0.4758 0.8179 0.6578
Dy4 0.5242 0.1821 0.3422
Dy5 0.7659 0.5000 0.2659
Dy6 0.8399 0.1821 0.6578
Ag1 0.5000 0.0000 0.5000

- ΔE_f: 54 meV/atom
- Electronic total energy: -4.360 eV per atom
- Fermi-level density of states: 9.5 states/eV/f.u.


DFT (PBE-GGA) results for an optimized crystal structure of RePt2Br.

abc: 9.4713 9.4713 9.4713
angles: 17.65 17.65 17.65
Fractional positions:
Re1 0.0000 0.0000 0.0000
Pt1 0.2579 0.2579 0.2579
Pt2 0.5091 0.5091 0.5091
Br1 0.7392 0.7392 0.7392

- Formation energy without anion corrections: 0.45 eV/atom
- Distance to the lowest polymorph of the same formula: 0.227 eV per atom
- Electronic total energy: -6.097 eV per atom
- Fermi-level density of states: 5.3 states/eV/f.u.


DFT (PBE-GGA) results for an optimized crystal structure of Ta2MnTe6.

abc: 7.7299 7.7299 9.5822
angles: 108.24 108.24 27.16
Fractional positions:
Ta1 0.1900 0.1900 0.3722
Ta2 0.8100 0.8100 0.6278
Mn1 0.5000 0.5000 0.0000
Te1 0.1375 0.1375 0.0505
Te2 0.1746 0.1746 0.6545
Te3 0.4641 0.4641 0.7054
Te4 0.5359 0.5359 0.2946
Te5 0.8254 0.8254 0.3455
Te6 0.8625 0.8625 0.9495

- Formation energy without anion corrections: -0.30 eV/atom
- Distance to the lowest polymorph of the same formula: 0.000 eV per atom
- Electronic total energy: -6.045 eV per atom
- Fermi-level density of states: 4.2 states/eV/f.u.


DFT (PBE-GGA) results for an optimized crystal structure of TiMn.

abc: 2.8580 4.3814 4.5333
angles: 101.11 99.78 94.01
Fractional positions:
Ti1 0.0854 0.2251 0.3176
Ti2 0.9146 0.7749 0.6824
Mn1 0.4604 0.7189 0.1487
Mn2 0.5396 0.2811 0.8513

- ΔE_f: -56 meV/atom
- Electronic total energy: -8.588 eV per atom
- Fermi-level density of states: 2.0 states/eV/f.u.


DFT (PBE-GGA) results for an optimized crystal structure of LaSnI2O.

abc: 6.3050 6.3050 4.1188
angles: 90.00 90.00 90.00
Fractional positions:
La1 0.0000 0.0000 0.0000
Sn1 0.5000 0.5000 0.5000
I1 0.0000 0.5000 0.5000
I2 0.5000 0.0000 0.5000
O1 0.5000 0.5000 0.0000

- Formation energy without anion corrections: -0.65 eV/atom
- Distance to the lowest polymorph of the same formula: 0.572 eV per atom
- Electronic total energy: -4.048 eV per atom
- Fermi-level density of states: 5.9 states/eV/f.u.


DFT (PBE-GGA) results for an optimized crystal structure of Ac2AlGe2.

abc: 8.1384 8.1384 8.1384
angles: 130.89 70.52 132.75
Fractional positions:
Ac1 0.1404 0.1967 0.3371
Ac2 0.3596 0.6967 0.0563
Ac3 0.6404 0.3033 0.9437
Ac4 0.8596 0.8033 0.6629
Al1 0.2500 0.7500 0.5000
Al2 0.7500 0.2500 0.5000
Ge1 0.1133 0.7138 0.8271
Ge2 0.3867 0.2138 0.6005
Ge3 0.6133 0.7862 0.3995
Ge4 0.8867 0.2862 0.1729

- ΔE_f: -579 meV/atom
- Distance to the lowest polymorph of the same formula: 0.000 eV per atom
- Electronic total energy: -4.817 eV per atom
- Fermi-level density of states: 3.4 states/eV/f.u.


DFT (PBE-GGA) results for an optimized crystal structure of BeHgSb2.

abc: 5.0917 5.0917 5.0917
angles: 60.00 60.00 60.00
Fractional positions:
Be1 0.0000 0.0000 0.0000
Hg1 0.2500 0.2500 0.2500
Sb1 0.5000 0.5000 0.5000
Sb2 0.7500 0.7500 0.7500

- Formation energy without anion corrections: 0.64 eV/atom
- Distance to the lowest polymorph of the same formula: 0.458 eV per atom
- Electronic total energy: -2.423 eV per atom
- Fermi-level density of states: 4.6 states/eV/f.u.


DFT (PBE-GGA) results for an optimized crystal structure of HfCuNi2.

abc: 5.3944 5.3944 5.3944
angles: 103.57 103.57 122.05
Fractional positions:
Hf1 0.0000 0.0000 0.0000
Hf2 0.7500 0.2500 0.5000
Cu1 0.2500 0.7500 0.5000
Cu2 0.5000 0.5000 0.0000
Ni1 0.1438 0.1250 0.5188
Ni2 0.3750 0.8562 0.9812
Ni3 0.6062 0.6250 0.4812
Ni4 0.8750 0.3938 0.0188

- ΔE_f: 60 meV/atom
- Electronic total energy: -6.343 eV per atom
- Fermi-level density of states: 3.1 states/eV/f.u.


DFT (PBE-GGA) results for an optimized crystal structure of ZnInTc2.

abc: 2.8328 2.8328 9.3462
angles: 90.00 90.00 116.28
Fractional positions:
Zn1 0.0000 0.0000 0.0000
In1 0.5000 0.5000 0.7219
Tc1 0.0000 0.0000 0.4565
Tc2 0.5000 0.5000 0.2355

- ΔE_f: 340 meV/atom
- Distance to the lowest polymorph of the same formula: 0.275 eV per atom
- Electronic total energy: -5.846 eV per atom
- Fermi-level density of states: 3.2 states/eV/f.u.


DFT (PBE-GGA) results for an optimized crystal structure of SrTiF5.

abc: 5.0826 5.0826 7.6431
angles: 94.14 94.14 93.11
Fractional positions:
Sr1 0.0135 0.9865 0.7500
Sr2 0.9865 0.0135 0.2500
Ti1 0.5000 0.5000 0.0000
Ti2 0.5000 0.5000 0.5000
F1 0.1580 0.2814 0.0161
F2 0.1839 0.6174 0.3904
F3 0.2814 0.1580 0.5161
F4 0.3807 0.6193 0.7500
F5 0.3826 0.8161 0.1096
F6 0.6174 0.1839 0.8904
F7 0.6193 0.3807 0.2500
F8 0.7186 0.8420 0.4839
F9 0.8161 0.3826 0.6096
F10 0.8420 0.7186 0.9839

- Formation energy without anion corrections: -3.55 eV/atom
- Electronic total energy: -6.252 eV per atom
- Fermi-level density of states: 0.8 states/eV/f.u.


DFT (PBE-GGA) results for an optimized crystal structure of KErSe4.

abc: 6.2450 6.2450 8.3793
angles: 90.00 90.00 90.00
Fractional positions:
K1 0.2500 0.2500 0.0000
K2 0.7500 0.7500 0.0000
Er1 0.2500 0.2500 0.5000
Er2 0.7500 0.7500 0.5000
Se1 0.1120 0.6120 0.2955
Se2 0.1120 0.8880 0.7045
Se3 0.3880 0.6120 0.7045
Se4 0.3880 0.8880 0.2955
Se5 0.6120 0.1120 0.7045
Se6 0.6120 0.3880 0.2955
Se7 0.8880 0.1120 0.2955
Se8 0.8880 0.3880 0.7045

- Formation energy without anion corrections: -1.15 eV/atom
- Electronic total energy: -4.417 eV per atom


DFT (PBE-GGA) results for an optimized crystal structure of CaLaS2N.

abc: 5.5268 5.5268 4.3346
angles: 90.00 90.00 90.00
Fractional positions:
Ca1 0.0000 0.0000 0.0000
La1 0.5000 0.5000 0.5000
S1 0.0000 0.5000 0.5000
S2 0.5000 0.0000 0.5000
N1 0.5000 0.5000 0.0000

- Formation energy without anion corrections: -0.67 eV/atom
- Distance to the lowest polymorph of the same formula: 0.000 eV per atom
- Electronic total energy: -5.370 eV per atom
- Fermi-level density of states: 3.5 states/eV/f.u.


DFT (PBE-GGA) results for an optimized crystal structure of Ac2Te3F.

abc: 8.1141 8.1141 8.1141
angles: 68.06 68.06 68.06
Fractional positions:
Ac1 0.1262 0.1262 0.1262
Ac2 0.3738 0.3738 0.3738
Ac3 0.6262 0.6262 0.6262
Ac4 0.8738 0.8738 0.8738
Te1 0.0243 0.7500 0.4757
Te2 0.2500 0.5243 0.9757
Te3 0.4757 0.0243 0.7500
Te4 0.5243 0.9757 0.2500
Te5 0.7500 0.4757 0.0243
Te6 0.9757 0.2500 0.5243
F1 0.0000 0.0000 0.0000
F2 0.5000 0.5000 0.5000

- Formation energy without anion corrections: -1.90 eV/atom
- Distance to the lowest polymorph of the same formula: 0.066 eV per atom
- Electronic total energy: -5.156 eV per atom
- Fermi-level density of states: 4.3 states/eV/f.u.